A relaxed structure of Pm3InGe3, computed with PBE.

## Properties
Energy relative to the elements = -56 kJ/mol of atoms
ρ = 6.222 Mg/m³
D(E_F) = 0.24 states/eV per atom
Magnetic moment = 0.0000 μB/atom
E_tot = -4.985 eV/atom

a b c (Å): 8.8539 8.8539 6.0360
angles (deg): 90.00 90.00 120.00
Last column: nearest neighbours and their distance in Å.
Space group P6_3/m (No. 176)
Asymmetric unit:
Pm1 0.0566 0.3650 0.2500 (multiplicity 6)  5 Ge 2.92-3.07
In1 0.3333 0.6667 0.7500 (multiplicity 2)  3 Ge 2.67
Ge1 0.0475 0.3517 0.7500 (multiplicity 6)  1 In 2.67, 1 Pm 2.92

=====

A relaxed structure of Pm6InGe5, computed with PBE.

## Properties
Energy relative to the elements = -59 kJ/mol of atoms
ρ = 6.593 Mg/m³
D(E_F) = 0.79 states/eV per atom
Magnetic moment = 0.0000 μB/atom
E_tot = -5.139 eV/atom

a b c (Å): 7.5318 13.0370 7.3551
angles (deg): 90.00 109.92 90.00
Last column: nearest neighbours and their distance in Å.
Space group C2/m (No. 12)
Asymmetric unit:
Pm1 0.2304 0.0000 0.2587 (multiplicity 4)  5 Ge 2.87-3.04
Pm2 0.2323 0.1782 0.7335 (multiplicity 8)  5 Ge 2.96-3.08, 1 In 3.26
In1 0.0000 0.5000 0.0000 (multiplicity 2)  6 Pm 3.22-3.26
Ge1 0.0000 0.0000 0.5000 (multiplicity 2)  6 Pm 2.87-3.06
Ge2 0.0000 0.1691 0.0000 (multiplicity 4)  6 Pm 3.03-3.04
Ge3 0.0000 0.3459 0.5000 (multiplicity 4)  6 Pm 2.96-3.08

=====

A relaxed structure of PmInGe2, computed with PBE.

## Properties
Energy relative to the elements = -42 kJ/mol of atoms
ρ = 7.421 Mg/m³
D(E_F) = 0.58 states/eV per atom
Magnetic moment = 0.0000 μB/atom
E_tot = -4.613 eV/atom

a b c (Å): 4.6592 4.6592 4.1756
angles (deg): 90.00 90.00 90.00
Last column: nearest neighbours and their distance in Å.
Space group P4/mmm (No. 123)
Asymmetric unit:
Pm1 0.0000 0.0000 0.0000 (multiplicity 1)  8 Ge 3.13, 4 In 3.29
In1 0.5000 0.5000 0.0000 (multiplicity 1)  8 Ge 3.13, 4 Pm 3.29
Ge1 0.0000 0.5000 0.5000 (multiplicity 2)  4 In 3.13, 4 Pm 3.13, 4 Ge 3.29

=====

A relaxed structure of Pm4In3Ge, computed with PBE.

## Properties
Energy relative to the elements = -53 kJ/mol of atoms
ρ = 7.106 Mg/m³
D(E_F) = 1.06 states/eV per atom
Magnetic moment = 0.0032 μB/atom
E_tot = -4.524 eV/atom

a b c (Å): 4.3233 4.6366 11.6231
angles (deg): 90.00 90.00 90.00
Last column: nearest neighbours and their distance in Å.
Space group Pmm2 (No. 25)
Asymmetric unit:
Pm1 0.0000 0.0000 0.0000 (multiplicity 1)  1 Ge 3.11, 4 In 3.25
Pm2 0.0000 0.5000 0.4848 (multiplicity 1)  5 In 3.24-3.30, 2 Ge 3.43
Pm3 0.5000 0.0000 0.7113 (multiplicity 1)  7 In 3.24-3.51
Pm4 0.5000 0.5000 0.2167 (multiplicity 1)  4 Ge 3.22, 3 In 3.24-3.37
In1 0.0000 0.5000 0.7684 (multiplicity 1)  2 In 2.92, 4 Pm 3.24
In2 0.5000 0.0000 0.4273 (multiplicity 1)  2 Ge 2.85
In3 0.5000 0.5000 0.9378 (multiplicity 1)  2 In 2.92, 5 Pm 3.24-3.25
Ge1 0.0000 0.0000 0.2678 (multiplicity 1)  2 In 2.85, 1 Pm 3.11

=====

A relaxed structure of Pm5In2Ge5, computed with PBE.

## Properties
Energy relative to the elements = -59 kJ/mol of atoms
ρ = 7.180 Mg/m³
D(E_F) = 0.49 states/eV per atom
Magnetic moment = 0.0000 μB/atom
E_tot = -4.972 eV/atom

a b c (Å): 15.4192 4.3145 11.8138
angles (deg): 90.00 129.14 90.00
Last column: nearest neighbours and their distance in Å.
Space group C2/m (No. 12)
Asymmetric unit:
Pm1 0.0000 0.0000 0.0000 (multiplicity 2)  4 In 3.26, 6 Ge 3.29-3.39
Pm2 0.1022 0.0000 0.4290 (multiplicity 4)  4 Ge 3.08-3.17, 3 In 3.21-3.26
Pm3 0.1995 0.0000 0.8343 (multiplicity 4)  5 Ge 3.02-3.06, 1 In 3.31
In1 0.1424 0.5000 0.2653 (multiplicity 4)  3 Ge 2.66-2.68
Ge1 0.0000 0.5000 0.5000 (multiplicity 2)  2 Ge 2.80, 4 Pm 3.08
Ge2 0.0744 0.5000 0.8650 (multiplicity 4)  1 In 2.66
Ge3 0.2337 0.5000 0.6815 (multiplicity 4)  2 In 2.68, 1 Ge 2.80

=====

A relaxed structure of Pm12InGe6, computed with PBE.

## Properties
Energy relative to the elements = -40 kJ/mol of atoms
ρ = 6.360 Mg/m³
D(E_F) = 1.11 states/eV per atom
Magnetic moment = 0.0000 μB/atom
E_tot = -5.013 eV/atom

a b c (Å): 13.9496 13.9496 10.6462
angles (deg): 90.00 90.00 120.00
Last column: nearest neighbours and their distance in Å.
Space group R-3m (No. 166, hexagonal axes)
Asymmetric unit:
Pm1 0.0000 0.3687 0.0000 (multiplicity 18)  4 Ge 2.97-3.08
Pm2 0.0869 0.1739 0.8478 (multiplicity 18)  3 Ge 3.08-3.09
In1 0.0000 0.0000 0.5000 (multiplicity 3)  18 Pm 4.26-4.77, 6 Ge 4.61
Ge1 0.0443 0.5221 0.7733 (multiplicity 18)  7 Pm 2.97-3.09

=====

A relaxed structure of PmInGe2, computed with PBE.

## Properties
Energy relative to the elements = 20 kJ/mol of atoms
ρ = 4.606 Mg/m³
D(E_F) = 0.75 states/eV per atom
Magnetic moment = 0.0000 μB/atom
E_tot = -3.973 eV/atom

a b c (Å): 4.8567 4.8567 21.4481
angles (deg): 90.00 90.00 120.00
Last column: nearest neighbours and their distance in Å.
Space group R-3m (No. 166, hexagonal axes)
Asymmetric unit:
Pm1 0.0000 0.0000 0.0000 (multiplicity 3)  6 Ge 2.97
In1 0.0000 0.0000 0.5000 (multiplicity 3)  2 Ge 2.61
Ge1 0.0000 0.0000 0.3783 (multiplicity 6)  1 In 2.61

=====

A relaxed structure of Pm2InGe4, computed with PBE.

## Properties
Energy relative to the elements = -34 kJ/mol of atoms
ρ = 6.754 Mg/m³
D(E_F) = 0.73 states/eV per atom
Magnetic moment = 0.0000 μB/atom
E_tot = -4.738 eV/atom

a b c (Å): 4.1412 4.1412 9.9684
angles (deg): 90.00 90.00 90.00
Last column: nearest neighbours and their distance in Å.
Space group P-4m2 (No. 115)
Asymmetric unit:
Pm1 0.0000 0.5000 0.2390 (multiplicity 2)  8 Ge 3.01-3.16, 2 In 3.33
In1 0.0000 0.0000 0.5000 (multiplicity 1)  4 Ge 2.80
Ge1 0.0000 0.0000 0.0000 (multiplicity 1)  4 Ge 2.93, 4 Pm 3.16
Ge2 0.0000 0.5000 0.6896 (multiplicity 2)  2 In 2.80, 4 Pm 3.01
Ge3 0.5000 0.5000 0.0000 (multiplicity 1)  4 Ge 2.93, 4 Pm 3.16

=====

A relaxed structure of Pm2In3Ge2, computed with PBE.

## Properties
Energy relative to the elements = -50 kJ/mol of atoms
ρ = 7.555 Mg/m³
D(E_F) = 0.40 states/eV per atom
Magnetic moment = 0.0000 μB/atom
E_tot = -4.370 eV/atom

a b c (Å): 10.9695 4.3959 7.2168
angles (deg): 90.00 99.97 90.00
Last column: nearest neighbours and their distance in Å.
Space group C2/m (No. 12)
Asymmetric unit:
Pm1 0.1184 0.0000 0.3239 (multiplicity 4)  5 Ge 3.07-3.31, 4 In 3.31-3.41
In1 0.0000 0.5000 0.0000 (multiplicity 2)  2 Ge 3.12, 4 Pm 3.31, 6 In 3.32-3.36
In2 0.1956 0.0000 0.8574 (multiplicity 4)  2 Ge 2.88, 2 In 3.10
Ge1 0.0977 0.5000 0.6185 (multiplicity 4)  1 Ge 2.50

=====

A relaxed structure of Pm12In2Ge5, computed with PBE.

## Properties
Energy relative to the elements = -37 kJ/mol of atoms
ρ = 6.531 Mg/m³
D(E_F) = 1.07 states/eV per atom
Magnetic moment = 0.0000 μB/atom
E_tot = -4.883 eV/atom

a b c (Å): 17.3551 7.1678 9.8472
angles (deg): 90.00 104.43 90.00
Last column: nearest neighbours and their distance in Å.
Space group C2/m (No. 12)
Asymmetric unit:
Pm1 0.0072 0.0000 0.2893 (multiplicity 4)  2 Ge 3.04-3.27, 2 In 3.19
Pm2 0.0574 0.5000 0.8063 (multiplicity 4)  1 Ge 2.93, 2 In 3.15
Pm3 0.1499 0.2515 0.5577 (multiplicity 8)  4 Ge 2.96-3.10
Pm4 0.1821 0.2401 0.1080 (multiplicity 8)  3 Ge 2.96-3.28, 1 In 3.08
In1 0.0000 0.2089 0.0000 (multiplicity 4)  1 In 2.99, 6 Pm 3.08-3.19
Ge1 0.0000 0.5000 0.5000 (multiplicity 2)  6 Pm 2.93-3.09
Ge2 0.1726 0.0000 0.8210 (multiplicity 4)  7 Pm 3.04-3.28
Ge3 0.2014 0.0000 0.3587 (multiplicity 4)  7 Pm 2.96-3.27

=====

A relaxed structure of Pm4InGe3, computed with PBE.

## Properties
Energy relative to the elements = -73 kJ/mol of atoms
ρ = 7.225 Mg/m³
D(E_F) = 0.72 states/eV per atom
Magnetic moment = 0.0000 μB/atom
E_tot = -5.202 eV/atom

a b c (Å): 4.1424 4.4957 11.2637
angles (deg): 90.00 90.00 90.00
Last column: nearest neighbours and their distance in Å.
Space group Pmm2 (No. 25)
Asymmetric unit:
Pm1 0.0000 0.0000 0.0000 (multiplicity 1)  5 Ge 3.07-3.12, 2 In 3.36
Pm2 0.0000 0.5000 0.4871 (multiplicity 1)  6 Ge 3.11-3.30, 1 In 3.29
Pm3 0.5000 0.0000 0.7092 (multiplicity 1)  1 Ge 3.10, 4 In 3.16
Pm4 0.5000 0.5000 0.2191 (multiplicity 1)  7 Ge 3.09-3.30
In1 0.0000 0.5000 0.7789 (multiplicity 1)  2 Ge 2.79
Ge1 0.0000 0.0000 0.2729 (multiplicity 1)  2 Ge 2.75, 1 Pm 3.07
Ge2 0.5000 0.0000 0.4341 (multiplicity 1)  2 Ge 2.75
Ge3 0.5000 0.5000 0.9447 (multiplicity 1)  2 In 2.79, 5 Pm 3.09-3.12